Here is a geometry-optimized Mn2TcSe structure from the Alexandria database. Energies are from PBE-GGA.

a = 2.7740 Å, b = 2.7740 Å, c = 8.2307 Å
α = 90.00°, β = 90.00°, γ = 109.65°
Each line ends with the local moment (μB).
Sites, in units of the cell vectors:
Mn 0.5000 0.5000 0.2426  3.03
Mn 0.0000 0.0000 0.9993  2.29
Se 0.0000 0.0000 0.4787  -0.05
Tc 0.5000 0.5000 0.7793  -0.37

Calculated values
- Space-group type: No. 35
- Uncorrected formation energy: 1.757 eV per formula unit
- Raw total energy: -30.4 eV/cell